# 1
LiMgMn | GGA-PBEsol | optimized geometry

abc: 4.358 4.358 4.358
angles: 60.00 60.00 60.00
Fractional coordinates of all 3 atoms:
Li: 0.250 0.250 0.250
Mg: 0.000 0.000 0.000
Mn: 0.500 0.500 0.500

## Properties
Fermi-level density of states	3.28	states/eV/f.u.
space group	F-43m (216)
calculated volume	58.53	Å³ per cell
raw total energy	-3.683	eV/atom
energy above the lowest structure with this stoichiometry	0	meV/atom

# 2
Li2YPt2 | GGA-PBEsol | optimized geometry

abc: 3.658 3.658 6.982
angles: 105.19 105.19 90.00
Fractional coordinates of all 5 atoms:
Pt: 0.395 0.395 0.789
Pt: 0.605 0.605 0.211
Li: 0.750 0.250 0.500
Li: 0.250 0.750 0.500
Y: 0.000 0.000 0.000

## Properties
Fermi-level density of states	1.39	states/eV/f.u.
space group	I4/mmm (139)
calculated volume	86.77	Å³ per cell
raw total energy	-5.630	eV/atom

Copy entry 1 word for word.
LiMgMn | GGA-PBEsol | optimized geometry

abc: 4.358 4.358 4.358
angles: 60.00 60.00 60.00
Fractional coordinates of all 3 atoms:
Li: 0.250 0.250 0.250
Mg: 0.000 0.000 0.000
Mn: 0.500 0.500 0.500

## Properties
Fermi-level density of states	3.28	states/eV/f.u.
space group	F-43m (216)
calculated volume	58.53	Å³ per cell
raw total energy	-3.683	eV/atom
energy above the lowest structure with this stoichiometry	0	meV/atom

Question: Look up the Fermi-level density of states of the second one.
Answer: 1.39 states/eV/f.u.

Question: Which value of calculated volume does entry 2 give?
Answer: 86.77 Å³ per cell

Question: The lowest Fermi-level density of states belongs to which entry?
Answer: Li2YPt2